VNi3Ru after structural relaxation, computed with PBE-GGA.

Unit cell a=4.182 b=4.182 c=4.182 alpha=90.00 beta=90.00 gamma=90.00
Positions (direct):
V (0.000, 0.000, 0.000)
Ni (0.000, 0.000, 0.500)
Ni (0.000, 0.500, 0.000)
Ni (0.500, 0.000, 0.000)
Ru (0.500, 0.500, 0.500)

Results
DOS(E_F), states/eV/cell: 6.2
Distance to the lowest polymorph of the same formula, meV/atom: 1130
Total moment, Bohr magnetons per cell: 1.4
Total DFT energy (no corrections), Ha/atom: -0.2186